a.
{"formula": "LaCd3N", "functional": "PBE", "state": "optimized geometry", "crystal_system": "cubic", "cell": [[6.479, 0.000, 0.000], [0.000, 6.479, 0.000], [0.000, 0.000, 6.479]], "species": ["La", "Cd", "Cd", "Cd", "N"], "frac_coords": [[0.000, 0.000, 0.000], [0.000, 0.000, 0.500], [0.000, 0.500, 0.000], [0.500, 0.000, 0.000], [0.500, 0.500, 0.500]]}

b.
{"formula": "LaCd3N", "functional": "PBE", "state": "optimized geometry", "crystal_system": "cubic", "cell": [[4.868, 0.000, 0.000], [0.000, 4.868, 0.000], [0.000, 0.000, 4.868]], "species": ["La", "Cd", "Cd", "Cd", "N"], "frac_coords": [[0.000, 0.000, 0.000], [0.000, 0.500, 0.500], [0.500, 0.000, 0.500], [0.500, 0.500, 0.000], [0.500, 0.500, 0.500]]}

Which one is the most stable? From the structures above, b.